A relaxed ThNbC crystal, computed with PBE.

Unit cell a=3.3542 b=3.3542 c=5.8321 alpha=90.00 beta=90.00 gamma=120.00
Atoms (fractional coordinates):
Th1 0.0000 0.0000 0.0000
Nb1 0.3333 0.6667 0.4749
C1 0.6667 0.3333 0.2975

Summary:
SG	P3m1 (156)
energy above the lowest structure with this stoichiometry	13.0	kJ per mole of atoms

A relaxed CaDy4TmS8 crystal, computed with PBE.

Unit cell a=8.0568 b=8.0568 c=8.0568 alpha=60.16 beta=60.16 gamma=60.16
Atoms (fractional coordinates):
Ca1 0.0000 0.0000 0.0000
Dy1 0.1189 0.6267 0.6267
Dy2 0.2494 0.2494 0.2494
Dy3 0.6267 0.1189 0.6267
Dy4 0.6267 0.6267 0.1189
Tm1 0.6268 0.6268 0.6268
S1 0.3824 0.3824 0.3824
S2 0.3850 0.3850 0.8496
S3 0.3850 0.8497 0.3850
S4 0.4068 0.8622 0.8622
S5 0.8496 0.3850 0.3850
S6 0.8622 0.4068 0.8622
S7 0.8622 0.8622 0.4068
S8 0.8645 0.8645 0.8645

Summary:
SG	R3m (160)
VASP energy	-85.92	eV for the cell shown

A relaxed Er4Sb5H2 crystal, computed with PBE.

Unit cell a=11.1468 b=11.1468 c=6.4103 alpha=95.08 beta=95.08 gamma=21.59
Atoms (fractional coordinates):
Er1 0.0763 0.0763 0.2490
Er2 0.3279 0.3279 0.0500
Er3 0.6721 0.6721 0.9500
Er4 0.9237 0.9237 0.7510
Sb1 0.0756 0.0756 0.7620
Sb2 0.2140 0.2140 0.2920
Sb3 0.5000 0.5000 0.5000
Sb4 0.7860 0.7860 0.7080
Sb5 0.9244 0.9244 0.2380
H1 0.4030 0.4030 0.8455
H2 0.5970 0.5970 0.1545

Summary:
SG	C2/m (12)
VASP energy	-51.56	eV for the cell shown

A relaxed EuErMgRu crystal, computed with PBE.

Unit cell a=5.0627 b=5.0627 c=5.0627 alpha=60.00 beta=60.00 gamma=60.00
Atoms (fractional coordinates):
Eu1 0.0000 0.0000 0.0000
Er1 0.5000 0.5000 0.5000
Mg1 0.2500 0.2500 0.2500
Ru1 0.7500 0.7500 0.7500

Summary:
SG	F-43m (216)
VASP energy	-25.80	eV for the cell shown

A relaxed CdSi2Rh crystal, computed with PBE.

Unit cell a=2.9294 b=2.9294 c=8.1313 alpha=90.00 beta=90.00 gamma=90.00
Atoms (fractional coordinates):
Cd1 0.0000 0.0000 0.0000
Si1 0.0000 0.0000 0.3173
Si2 0.0000 0.0000 0.6827
Rh1 0.5000 0.5000 0.5000

Summary:
SG	P4/mmm (123)
VASP energy	-19.75	eV for the cell shown

A relaxed Dy2RuC2 crystal, computed with PBE.

Unit cell a=5.8552 b=5.8552 c=9.3942 alpha=117.71 beta=117.71 gamma=33.79
Atoms (fractional coordinates):
Dy1 0.0241 0.0241 0.1757
Dy2 0.1493 0.1493 0.5858
Dy3 0.8507 0.8507 0.4142
Dy4 0.9759 0.9759 0.8243
Ru1 0.2787 0.2787 0.1207
Ru2 0.7213 0.7213 0.8793
C1 0.3323 0.3323 0.9166
C2 0.4710 0.4710 0.3280
C3 0.5290 0.5290 0.6720
C4 0.6677 0.6677 0.0834

Summary:
SG	C2/m (12)
energy above the lowest structure with this stoichiometry	24.5	kJ per mole of atoms

A relaxed Nd5GaRh2 crystal, computed with PBE.

Unit cell a=8.8012 b=8.8012 c=8.8012 alpha=126.32 beta=126.32 gamma=79.36
Atoms (fractional coordinates):
Nd1 0.0000 0.0000 0.0000
Nd2 0.0240 0.5240 0.8273
Nd3 0.1967 0.0240 0.5000
Nd4 0.3033 0.8033 0.8273
Nd5 0.4760 0.3033 0.5000
Nd6 0.5000 0.5000 0.0000
Nd7 0.5240 0.6967 0.5000
Nd8 0.6967 0.1967 0.1727
Nd9 0.8033 0.9760 0.5000
Nd10 0.9760 0.4760 0.1727
Ga1 0.2500 0.2500 0.0000
Ga2 0.7500 0.7500 0.0000
Rh1 0.1343 0.3657 0.5000
Rh2 0.3657 0.8657 0.2314
Rh3 0.6343 0.1343 0.7686
Rh4 0.8657 0.6343 0.5000

Summary:
SG	I4/mcm (140)
VASP energy	-91.62	eV for the cell shown

A relaxed Li2FeBr6 crystal, computed with PBE.

Unit cell a=9.5891 b=9.5891 c=8.4855 alpha=106.24 beta=106.24 gamma=93.68
Atoms (fractional coordinates):
Li1 0.0075 0.1512 0.4561
Li2 0.1512 0.0075 0.9561
Li3 0.8488 0.9925 0.0439
Li4 0.9925 0.8488 0.5439
Fe1 0.3479 0.6521 0.7500
Fe2 0.6521 0.3479 0.2500
Br1 0.0947 0.1729 0.2088
Br2 0.1729 0.0947 0.7088
Br3 0.1828 0.6700 0.4963
Br4 0.3236 0.4142 0.7528
Br5 0.3300 0.8172 0.0037
Br6 0.4142 0.3236 0.2528
Br7 0.5858 0.6764 0.7472
Br8 0.6700 0.1828 0.9963
Br9 0.6764 0.5858 0.2472
Br10 0.8172 0.3300 0.5037
Br11 0.8271 0.9053 0.2912
Br12 0.9053 0.8271 0.7912

Summary:
SG	C2/c (15)
energy above the lowest structure with this stoichiometry	0.0	kJ per mole of atoms

A relaxed SmHo2Tc crystal, computed with PBE.

Unit cell a=7.4746 b=9.1509 c=6.3023 alpha=90.00 beta=90.00 gamma=90.00
Atoms (fractional coordinates):
Sm1 0.0421 0.2500 0.1263
Sm2 0.4579 0.7500 0.6263
Sm3 0.5421 0.2500 0.3737
Sm4 0.9579 0.7500 0.8737
Ho1 0.1757 0.0641 0.6577
Ho2 0.1757 0.4359 0.6577
Ho3 0.3243 0.5641 0.1577
Ho4 0.3243 0.9359 0.1577
Ho5 0.6757 0.0641 0.8423
Ho6 0.6757 0.4359 0.8423
Ho7 0.8243 0.5641 0.3423
Ho8 0.8243 0.9359 0.3423
Tc1 0.1156 0.7500 0.4557
Tc2 0.3844 0.2500 0.9557
Tc3 0.6156 0.7500 0.0443
Tc4 0.8844 0.2500 0.5443

Summary:
SG	Pnma (62)
energy above the lowest structure with this stoichiometry	0.0	kJ per mole of atoms

A relaxed Y2MgPb9 crystal, computed with PBE.

Unit cell a=4.7810 b=4.7810 c=15.3003 alpha=90.00 beta=90.00 gamma=90.00
Atoms (fractional coordinates):
Y1 0.0000 0.0000 0.1589
Y2 0.0000 0.0000 0.8411
Mg1 0.0000 0.0000 0.5000
Pb1 0.0000 0.5000 0.0000
Pb2 0.0000 0.5000 0.3351
Pb3 0.0000 0.5000 0.6649
Pb4 0.5000 0.0000 0.0000
Pb5 0.5000 0.0000 0.3351
Pb6 0.5000 0.0000 0.6649
Pb7 0.5000 0.5000 0.1703
Pb8 0.5000 0.5000 0.5000
Pb9 0.5000 0.5000 0.8297

Summary:
SG	P4/mmm (123)
VASP energy	-50.21	eV for the cell shown

A relaxed TiMn2Hg crystal, computed with PBE.

Unit cell a=9.2352 b=9.2352 c=9.2352 alpha=155.87 beta=155.87 gamma=34.39
Atoms (fractional coordinates):
Ti1 0.0000 0.0000 0.0000
Ti2 0.7500 0.2500 0.5000
Mn1 0.0207 0.6250 0.8957
Mn2 0.3750 0.2707 0.3957
Mn3 0.7293 0.1250 0.1043
Mn4 0.8750 0.9793 0.6043
Hg1 0.2500 0.7500 0.5000
Hg2 0.5000 0.5000 0.0000

Summary:
SG	I-42d (122)
VASP energy	-47.53	eV for the cell shown

A relaxed Y2MgZn crystal, computed with PBE.

Unit cell a=5.9298 b=5.9298 c=5.9298 alpha=135.60 beta=135.60 gamma=64.61
Atoms (fractional coordinates):
Y1 0.0000 0.0000 0.0000
Y2 0.7500 0.2500 0.5000
Mg1 0.5000 0.5000 0.0000
Zn1 0.2500 0.7500 0.5000

Summary:
SG	I-4m2 (119)
energy above the lowest structure with this stoichiometry	18.1	kJ per mole of atoms

A relaxed Y2Cu2I crystal, computed with PBE.

Unit cell a=7.8700 b=7.8700 c=3.7741 alpha=90.00 beta=90.00 gamma=90.00
Atoms (fractional coordinates):
Y1 0.1640 0.3360 0.0000
Y2 0.3360 0.8360 0.0000
Y3 0.6640 0.1640 0.0000
Y4 0.8360 0.6640 0.0000
Cu1 0.1159 0.6159 0.5000
Cu2 0.3841 0.1159 0.5000
Cu3 0.6159 0.8841 0.5000
Cu4 0.8841 0.3841 0.5000
I1 0.0000 0.0000 0.5000
I2 0.5000 0.5000 0.5000

Summary:
SG	P4/mbm (127)
energy above the lowest structure with this stoichiometry	0.0	kJ per mole of atoms

A relaxed Be2FePt crystal, computed with PBE.

Unit cell a=8.0138 b=8.0138 c=8.0138 alpha=18.87 beta=18.87 gamma=18.87
Atoms (fractional coordinates):
Be1 0.0000 0.0000 0.0000
Be2 0.2536 0.2536 0.2536
Fe1 0.5098 0.5098 0.5098
Pt1 0.7466 0.7466 0.7466

Summary:
SG	R3m (160)
VASP energy	-21.83	eV for the cell shown

A relaxed Ho6AlTl crystal, computed with PBE.

Unit cell a=6.5234 b=6.5234 c=6.2978 alpha=90.01 beta=90.01 gamma=120.34
Atoms (fractional coordinates):
Ho1 0.0878 0.0878 0.2572
Ho2 0.0939 0.5047 0.7425
Ho3 0.4953 0.9061 0.2575
Ho4 0.5047 0.0939 0.7425
Ho5 0.9061 0.4953 0.2575
Ho6 0.9122 0.9122 0.7428
Al1 0.5000 0.5000 0.5000
Tl1 0.5000 0.5000 0.0000

Summary:
SG	C2/m (12)
energy above the lowest structure with this stoichiometry	17.1	kJ per mole of atoms

A relaxed GaAgPt crystal, computed with PBE.

Unit cell a=2.8397 b=4.9711 c=4.9711 alpha=46.28 beta=90.00 gamma=90.00
Atoms (fractional coordinates):
Ga1 0.0000 0.0000 0.0000
Ag1 0.0000 0.2998 0.2998
Pt1 0.5000 0.6024 0.6024

Summary:
SG	Amm2 (38)
energy above the lowest structure with this stoichiometry	5.5	kJ per mole of atoms

A relaxed Cs6Dy3Br14 crystal, computed with PBE.

Unit cell a=13.2333 b=13.2333 c=7.1901 alpha=90.00 beta=90.00 gamma=120.00
Atoms (fractional coordinates):
Cs1 0.0275 0.5751 0.0000
Cs2 0.3085 0.0966 0.4765
Cs3 0.4249 0.4524 0.0000
Cs4 0.5476 0.9725 0.0000
Cs5 0.7881 0.6915 0.4765
Cs6 0.9034 0.2119 0.4765
Dy1 0.0000 0.0000 0.9082
Dy2 0.3333 0.6667 0.4299
Dy3 0.6667 0.3333 0.7524
Br1 0.0000 0.0000 0.2842
Br2 0.0714 0.8559 0.7736
Br3 0.1441 0.2155 0.7736
Br4 0.1860 0.4528 0.2882
Br5 0.2668 0.8140 0.2882
Br6 0.3333 0.6667 0.8051
Br7 0.4639 0.1973 0.9679
Br8 0.5324 0.4016 0.5350
Br9 0.5472 0.7332 0.2882
Br10 0.5984 0.1307 0.5350
Br11 0.7335 0.5361 0.9679
Br12 0.7845 0.9286 0.7736
Br13 0.8027 0.2665 0.9679
Br14 0.8693 0.4676 0.5350

Summary:
SG	P3 (143)
VASP energy	-82.81	eV for the cell shown

A relaxed NdDyHo2 crystal, computed with PBE.

Unit cell a=10.1061 b=5.0428 c=10.0701 alpha=90.00 beta=90.00 gamma=90.00
Atoms (fractional coordinates):
Nd1 0.1265 0.2500 0.0000
Nd2 0.3735 0.7500 0.5000
Nd3 0.6265 0.2500 0.5000
Nd4 0.8735 0.7500 0.0000
Dy1 0.1250 0.7500 0.2517
Dy2 0.3750 0.2500 0.7517
Dy3 0.6250 0.7500 0.2483
Dy4 0.8750 0.2500 0.7483
Ho1 0.1230 0.2500 0.5001
Ho2 0.1250 0.7500 0.7484
Ho3 0.3750 0.2500 0.2484
Ho4 0.3770 0.7500 0.0001
Ho5 0.6230 0.2500 0.9999
Ho6 0.6250 0.7500 0.7516
Ho7 0.8750 0.2500 0.2516
Ho8 0.8770 0.7500 0.4999

Summary:
SG	Pnma (62)
energy above the lowest structure with this stoichiometry	2.1	kJ per mole of atoms

A relaxed CrMo2Rh crystal, computed with PBE.

Unit cell a=2.6989 b=3.9886 c=5.4534 alpha=90.00 beta=98.94 gamma=90.00
Atoms (fractional coordinates):
Cr1 0.0000 0.0000 0.0000
Mo1 0.4208 0.5000 0.2363
Mo2 0.5792 0.5000 0.7637
Rh1 0.0000 0.0000 0.5000

Summary:
SG	P2/m (10)
energy above the lowest structure with this stoichiometry	0.1	kJ per mole of atoms

A relaxed CeThTl6 crystal, computed with PBE.

Unit cell a=4.8268 b=4.8268 c=9.6684 alpha=90.00 beta=90.00 gamma=90.00
Atoms (fractional coordinates):
Ce1 0.0000 0.0000 0.0000
Th1 0.0000 0.0000 0.5000
Tl1 0.0000 0.5000 0.2479
Tl2 0.0000 0.5000 0.7521
Tl3 0.5000 0.0000 0.2479
Tl4 0.5000 0.0000 0.7521
Tl5 0.5000 0.5000 0.0000
Tl6 0.5000 0.5000 0.5000

Summary:
SG	P4/mmm (123)
VASP energy	-29.15	eV for the cell shown

| no. | volume (A^3/atom) |
| --- | --- |
| 1 | 18.94 |
| 2 | 26.51 |
| 3 | 26.53 |
| 4 | 22.94 |
| 5 | 17.44 |
| 6 | 15.65 |
| 7 | 26.74 |
| 8 | 39.48 |
| 9 | 26.94 |
| 10 | 29.14 |
| 11 | 16.44 |
| 12 | 25.16 |
| 13 | 23.38 |
| 14 | 11.76 |
| 15 | 28.91 |
| 16 | 16.91 |
| 17 | 47.41 |
| 18 | 32.08 |
| 19 | 14.50 |
| 20 | 28.16 |